Here is crystalline NdBiRh at its relaxed geometry from the Alexandria database. Energies are from GGA-PBE.

Unit cell a=3.950 b=3.950 c=5.697 alpha=110.28 beta=110.28 gamma=90.00
Sites, in units of the cell vectors:
Nd  0.590  0.590  0.179
Rh  0.985  0.985  0.969
Bi  0.276  0.276  0.552

Summary:
mass density: 9.8 g/cm3
energy of formation from the pure elements: -35 kJ per mole of atoms
DOS at the Fermi energy: 1.13 states/eV per cell


Here is crystalline Ga2OsI at its relaxed geometry from the Alexandria database. Energies are from GGA-PBE.

Unit cell a=4.754 b=4.754 c=4.754 alpha=60.00 beta=60.00 gamma=60.00
Site moments in Bohr magnetons follow the coordinates.
Sites, in units of the cell vectors:
I  0.000  0.000  0.000  0.04
Os  0.500  0.500  0.500  0.39
Ga  0.250  0.250  0.250  0.01
Ga  0.750  0.750  0.750  0.01

Summary:
mass density: 10.0 g/cm3
DOS at the Fermi energy: 4.21 states/eV per cell
offset from the most stable computed form: 1.96 eV/f.u.


Here is crystalline Hg4TeBr4 at its relaxed geometry from the Alexandria database. Energies are from GGA-PBE.

Unit cell a=6.932 b=9.048 c=9.048 alpha=90.00 beta=90.00 gamma=90.00
Sites, in units of the cell vectors:
Hg  0.682  0.772  0.409
Hg  0.682  0.228  0.591
Hg  0.182  0.909  0.728
Hg  0.818  0.272  0.909
Hg  0.818  0.728  0.091
Hg  0.318  0.409  0.228
Hg  0.318  0.591  0.772
Hg  0.182  0.091  0.272
Te  0.000  0.000  0.000
Te  0.500  0.500  0.500
Br  0.395  0.303  0.937
Br  0.895  0.563  0.803
Br  0.395  0.697  0.063
Br  0.105  0.197  0.563
Br  0.605  0.937  0.697
Br  0.105  0.803  0.437
Br  0.895  0.437  0.197
Br  0.605  0.063  0.303

Summary:
mass density: 7.3 g/cm3
DOS at the Fermi energy: 7.90 states/eV per cell


Here is crystalline Tm4Bi5Se at its relaxed geometry from the Alexandria database. Energies are from GGA-PBE.

Unit cell a=4.371 b=8.057 c=9.320 alpha=79.37 beta=103.56 gamma=90.00
Sites, in units of the cell vectors:
Tm  0.348  0.938  0.697
Tm  0.040  0.757  0.081
Tm  0.652  0.062  0.303
Tm  0.960  0.243  0.919
Bi  0.867  0.642  0.733
Bi  0.796  0.216  0.593
Bi  0.204  0.784  0.407
Bi  0.500  0.500  0.000
Bi  0.133  0.358  0.267
Se  0.500  0.000  0.000

Summary:
mass density: 9.5 g/cm3
DOS at the Fermi energy: 4.71 states/eV per cell


Here is crystalline LiScUS3 at its relaxed geometry from the Alexandria database. Energies are from GGA-PBE.

Unit cell a=3.667 b=7.764 c=8.266 alpha=104.69 beta=90.00 gamma=90.00
Site moments in Bohr magnetons follow the coordinates.
Sites, in units of the cell vectors:
Li  0.250  0.093  0.584  0.01
Li  0.750  0.907  0.416  0.01
Sc  0.250  0.664  0.155  0.09
Sc  0.750  0.336  0.845  0.09
U  0.250  0.185  0.215  2.56
U  0.750  0.815  0.785  2.56
S  0.750  0.898  0.134  -0.04
S  0.250  0.102  0.866  -0.04
S  0.250  0.771  0.505  -0.03
S  0.750  0.229  0.495  -0.03
S  0.750  0.438  0.171  -0.03
S  0.250  0.562  0.829  -0.03

Summary:
mass density: 5.6 g/cm3
DOS at the Fermi energy: 14.52 states/eV per cell


Here is crystalline KY2Au at its relaxed geometry from the Alexandria database. Energies are from GGA-PBE.

Unit cell a=3.913 b=5.574 c=5.344 alpha=90.00 beta=90.00 gamma=90.00
Sites, in units of the cell vectors:
Au  0.500  0.000  0.500
K  0.000  0.500  0.500
Y  0.000  0.000  0.000
Y  0.500  0.500  0.000

Summary:
mass density: 5.9 g/cm3
energy of formation from the pure elements: 15 kJ per mole of atoms
DOS at the Fermi energy: 3.53 states/eV per cell
offset from the most stable computed form: 1.40 eV/f.u.


Number 1: total DFT energy (no corrections) -17.09 eV/cell. Number 2: total DFT energy (no corrections) -14.56 eV/cell. Number 3: total DFT energy (no corrections) -26.14 eV/cell. Number 4: total DFT energy (no corrections) -47.46 eV/cell. Number 5: total DFT energy (no corrections) -81.62 eV/cell. Number 6: total DFT energy (no corrections) -16.66 eV/cell.